{
  "formula": "Li2SiBiPd",
  "functional": "PBE",
  "state": "relaxed",
  "cell": [[4.7055, 0.0000, 0.0000], [0.0000, 4.7055, 0.0000], [0.0000, 0.0000, 5.1094]],
  "species": ["Li", "Li", "Si", "Bi", "Pd"],
  "frac_coords": [[0.0000, 0.5000, 0.0000], [0.5000, 0.0000, 0.0000], [0.0000, 0.0000, 0.5000], [0.5000, 0.5000, 0.5000], [0.5000, 0.5000, 0.0000]],
  "crystal_system": "tetragonal",
  "raw_formation_energy_ev_per_atom": 0.17,
  "magnetic_moment_mub_per_fu": 0.000,
  "volume_a3_per_cell": 113,
  "dft_energy_ev_per_atom": -3.499
}

***

{
  "formula": "LiSnBiPd",
  "functional": "PBE",
  "state": "relaxed",
  "cell": [[6.9428, 0.0000, 0.0000], [0.0000, 6.9428, 0.0000], [0.0000, 0.0000, 6.9428]],
  "species": ["Li", "Li", "Li", "Li", "Sn", "Sn", "Sn", "Sn", "Bi", "Bi", "Bi", "Bi", "Pd", "Pd", "Pd", "Pd"],
  "frac_coords": [[0.0000, 0.0000, 0.0000], [0.0000, 0.5000, 0.5000], [0.5000, 0.0000, 0.5000], [0.5000, 0.5000, 0.0000], [0.2500, 0.2500, 0.7500], [0.2500, 0.7500, 0.2500], [0.7500, 0.2500, 0.2500], [0.7500, 0.7500, 0.7500], [0.2500, 0.2500, 0.2500], [0.2500, 0.7500, 0.7500], [0.7500, 0.2500, 0.7500], [0.7500, 0.7500, 0.2500], [0.0000, 0.0000, 0.5000], [0.0000, 0.5000, 0.0000], [0.5000, 0.0000, 0.0000], [0.5000, 0.5000, 0.5000]],
  "crystal_system": "cubic",
  "magnetic_moment_mub_per_fu": 0.000,
  "volume_a3_per_cell": 335,
  "dft_energy_ev_per_atom": -4.079
}

***

{
  "formula": "SrLiBiPd3",
  "functional": "PBE",
  "state": "relaxed",
  "cell": [[3.0066, -6.2663, 0.0000], [3.0066, 6.2663, 0.0000], [0.0000, 0.0000, 6.7851]],
  "species": ["Sr", "Sr", "Li", "Li", "Bi", "Bi", "Pd", "Pd", "Pd", "Pd", "Pd", "Pd"],
  "frac_coords": [[0.1836, 0.8164, 0.7500], [0.8164, 0.1836, 0.2500], [0.4249, 0.5751, 0.7500], [0.5751, 0.4249, 0.2500], [0.1355, 0.8645, 0.2500], [0.8645, 0.1355, 0.7500], [0.2458, 0.2458, 0.0000], [0.2458, 0.2458, 0.5000], [0.3577, 0.6423, 0.2500], [0.6423, 0.3577, 0.7500], [0.7542, 0.7542, 0.0000], [0.7542, 0.7542, 0.5000]],
  "crystal_system": "orthorhombic",
  "magnetic_moment_mub_per_fu": 0.000,
  "volume_a3_per_cell": 256,
  "dft_energy_ev_per_atom": -4.267
}

***

{
  "formula": "Sr2Li3Bi4Pd",
  "functional": "PBE",
  "state": "relaxed",
  "cell": [[4.9053, 0.0000, 0.0000], [0.0000, 4.9053, 0.0000], [0.0000, 0.0000, 11.1174]],
  "species": ["Sr", "Sr", "Li", "Li", "Li", "Bi", "Bi", "Bi", "Bi", "Pd"],
  "frac_coords": [[0.0000, 0.5000, 0.2346], [0.5000, 0.0000, 0.7654], [0.0000, 0.0000, 0.0000], [0.0000, 0.5000, 0.6338], [0.5000, 0.0000, 0.3662], [0.0000, 0.0000, 0.5000], [0.0000, 0.5000, 0.8786], [0.5000, 0.0000, 0.1214], [0.5000, 0.5000, 0.5000], [0.5000, 0.5000, 0.0000]],
  "crystal_system": "tetragonal",
  "magnetic_moment_mub_per_fu": 0.000,
  "volume_a3_per_cell": 268,
  "dft_energy_ev_per_atom": -3.575
}

***

Repeat the third record exactly.
{
  "formula": "SrLiBiPd3",
  "functional": "PBE",
  "state": "relaxed",
  "cell": [[3.0066, -6.2663, 0.0000], [3.0066, 6.2663, 0.0000], [0.0000, 0.0000, 6.7851]],
  "species": ["Sr", "Sr", "Li", "Li", "Bi", "Bi", "Pd", "Pd", "Pd", "Pd", "Pd", "Pd"],
  "frac_coords": [[0.1836, 0.8164, 0.7500], [0.8164, 0.1836, 0.2500], [0.4249, 0.5751, 0.7500], [0.5751, 0.4249, 0.2500], [0.1355, 0.8645, 0.2500], [0.8645, 0.1355, 0.7500], [0.2458, 0.2458, 0.0000], [0.2458, 0.2458, 0.5000], [0.3577, 0.6423, 0.2500], [0.6423, 0.3577, 0.7500], [0.7542, 0.7542, 0.0000], [0.7542, 0.7542, 0.5000]],
  "crystal_system": "orthorhombic",
  "magnetic_moment_mub_per_fu": 0.000,
  "volume_a3_per_cell": 256,
  "dft_energy_ev_per_atom": -4.267
}